The following is a PBE calculation of KScPa after structural relaxation, from OQMD via LeMat-Bulk.

```
data_KScPa
_space_group_name_H-M_alt 'F -4 3 m'
_space_group_IT_number 216
_space_group_name_Hall 'F -4 2 3'
_cell_length_a 7.803
_cell_length_b 7.803
_cell_length_c 7.803
_cell_angle_alpha 90.00
_cell_angle_beta 90.00
_cell_angle_gamma 90.00
loop_
_atom_site_label
_atom_site_fract_x
_atom_site_fract_y
_atom_site_fract_z
_atom_site_occupancy
K1 0.000 0.000 0.000 1
Sc1 0.250 0.250 0.250 1
Pa1 0.000 0.000 0.500 1
```

***

The following is a PBE calculation of KPaSe3 after structural relaxation, from OQMD via LeMat-Bulk.

```
data_KPaSe3
_space_group_name_H-M_alt 'P m -3 m'
_space_group_IT_number 221
_space_group_name_Hall '-P 4 2 3'
_cell_length_a 5.508
_cell_length_b 5.508
_cell_length_c 5.508
_cell_angle_alpha 90.00
_cell_angle_beta 90.00
_cell_angle_gamma 90.00
loop_
_atom_site_label
_atom_site_fract_x
_atom_site_fract_y
_atom_site_fract_z
_atom_site_occupancy
K1 0.000 0.000 0.000 1
Pa1 0.500 0.500 0.500 1
Se1 0.000 0.500 0.500 1
```

***

The following is a PBE calculation of KPaTlSe3 after structural relaxation, from OQMD via LeMat-Bulk.

```
data_KPaTlSe3
_space_group_name_H-M_alt 'C m c m'
_space_group_IT_number 63
_space_group_name_Hall '-C 2c 2'
_cell_length_a 4.255
_cell_length_b 16.649
_cell_length_c 12.131
_cell_angle_alpha 90.00
_cell_angle_beta 90.00
_cell_angle_gamma 90.00
loop_
_atom_site_label
_atom_site_fract_x
_atom_site_fract_y
_atom_site_fract_z
_atom_site_occupancy
K1 0.000 0.162 0.250 1
Pa1 0.000 0.500 0.000 1
Tl1 0.000 0.136 0.750 1
Se1 0.000 0.113 0.004 1
Se2 0.000 0.495 0.250 1
```

***

The following is a PBE calculation of KTbPa after structural relaxation, from OQMD via LeMat-Bulk.

```
data_KTbPa
_space_group_name_H-M_alt 'F -4 3 m'
_space_group_IT_number 216
_space_group_name_Hall 'F -4 2 3'
_cell_length_a 8.045
_cell_length_b 8.045
_cell_length_c 8.045
_cell_angle_alpha 90.00
_cell_angle_beta 90.00
_cell_angle_gamma 90.00
loop_
_atom_site_label
_atom_site_fract_x
_atom_site_fract_y
_atom_site_fract_z
_atom_site_occupancy
K1 0.000 0.000 0.000 1
Tb1 0.250 0.250 0.750 1
Pa1 0.000 0.000 0.500 1
```

***

Number 1: E -3.902 eV per atom, M_tot 4.7 μB per formula unit. Number 2: E -5.577 eV per atom, M_tot 0.0 μB per formula unit. Number 3: E -4.962 eV per atom, M_tot 1.0 μB per formula unit. Number 4: E -3.318 eV per atom, M_tot 4.3 μB per formula unit.